# BeCrNi2 | the Alexandria database | PBEsol | optimized geometry
# Formation energy   -0.057 eV/atom
# Calculated volume   9.99 Å³ per atom
data_BeCrNi2
_space_group_name_H-M_alt 'P 1 m 1'
_space_group_IT_number 6
_cell_length_a 2.406
_cell_length_b 3.948
_cell_length_c 4.209
_cell_angle_alpha 90.00
_cell_angle_beta 90.15
_cell_angle_gamma 90.00
loop_
_space_group_symop_operation_xyz
'x,y,z'
'x,-y,z'
loop_
_atom_site_label
_atom_site_type_symbol
_atom_site_fract_x
_atom_site_fract_y
_atom_site_fract_z
_atom_site_occupancy
Be1 Be 0.000 0.000 0.000 1
Cr1 Cr 0.994 0.500 0.369 1
Ni1 Ni 0.496 0.000 0.524 1
Ni2 Ni 0.496 0.500 0.882 1